Run P
A crystal of KLaOs2 relaxed with PBEsol. Source: the Alexandria database, functional meta-GGA SCAN.

POSCAR file:
```
KLaOs2
1.0
2.8498 -5.0417 0.0000
2.8498 5.0417 0.0000
-1.1407 0.0000 2.6172
K La Os
1 1 2
direct
0.0000 0.0000 0.0000
0.5000 0.5000 0.0000
0.0000 0.5000 0.5000
0.5000 0.0000 0.5000
```

Run Q
A crystal of KLaOs2 relaxed with PBEsol. Source: the Alexandria database, functional meta-GGA SCAN.

POSCAR file:
```
KLaOs2
1.0
3.9625 0.0000 0.0000
0.0000 3.9625 0.0000
0.0000 0.0000 7.1635
K La Os
1 1 2
direct
0.0000 0.0000 0.0000
0.0000 0.0000 0.5000
0.5000 0.5000 0.3406
0.5000 0.5000 0.6594
```

Here is how they stack up, most stable first: run Q, run P.